Below is crystalline Sr2LiAgPd2 at its relaxed geometry, with properties calculated at the PBE-GGA level.

```
12
Lattice="-3.049 7.769 3.035 3.049 -7.769 3.035 3.049 7.769 -3.035" Properties=species:S:1:pos:R:3 pbc="T T T"
Sr 1.426 2.595 0.000
Sr 1.426 -2.595 3.035
Sr 1.623 10.363 0.000
Sr 1.623 5.174 3.035
Li 3.049 0.000 1.518
Li 0.000 7.769 1.518
Ag 0.000 0.000 1.518
Ag 0.000 0.000 4.553
Pd 4.448 1.810 0.000
Pd 1.398 5.959 0.000
Pd 1.651 1.810 3.035
Pd -1.398 5.959 3.035
```

## Properties
**Density of states at the Fermi level**: 4.42 states/eV/cell
**Magnetization**: 0.000 μB per atom
**Total energy**: -3.5240 eV/atom

Below is crystalline NaAg4Ge4 at its relaxed geometry, with properties calculated at the PBE-GGA level.

```
18
Lattice="6.185 0.000 0.000 0.000 6.185 0.000 0.000 0.000 9.657" Properties=species:S:1:pos:R:3 pbc="T T T"
Na 1.546 4.639 2.414
Na 4.639 1.546 7.243
Ag 0.033 1.546 0.369
Ag 1.546 0.033 5.198
Ag 1.546 3.060 5.198
Ag 3.060 1.546 0.369
Ag 3.125 4.639 9.288
Ag 4.639 3.125 4.459
Ag 4.639 6.152 4.459
Ag 6.152 4.639 9.288
Ge 0.280 1.546 3.192
Ge 1.546 0.280 8.021
Ge 1.546 2.813 8.021
Ge 2.813 1.546 3.192
Ge 3.372 4.639 6.465
Ge 4.639 3.372 1.637
Ge 4.639 5.905 1.637
Ge 5.905 4.639 6.465
```

## Properties
**Density of states at the Fermi level**: 7.63 states/eV/cell
**Magnetization**: 0.000 μB per atom
**Total energy**: -3.3438 eV/atom

Below is crystalline BaCrSi2Se8 at its relaxed geometry, with properties calculated at the PBE-GGA level.

```
12
Lattice="6.163 0.000 0.000 -3.082 5.337 0.000 0.000 0.000 9.265" Properties=species:S:1:pos:R:3 pbc="T T T"
Ba 0.000 0.000 0.000
Cr 0.000 0.000 4.632
Si 0.000 3.558 6.735
Si 3.082 1.779 2.530
Se -1.952 3.724 3.106
Se 0.832 1.785 3.106
Se 0.000 3.558 9.008
Se 1.962 0.172 6.159
Se 1.120 5.166 3.106
Se 3.082 1.779 0.257
Se 2.249 3.553 6.159
Se 5.034 1.613 6.159
```

## Properties
**Density of states at the Fermi level**: 9.82 states/eV/cell
**Magnetization**: 0.069 μB per atom
**Uncorrected formation energy**: -6.49 eV/f.u.
**Total energy**: -4.7297 eV/atom

Below is crystalline Tb7CeTm4 at its relaxed geometry, with properties calculated at the PBE-GGA level.

```
12
Lattice="9.330 -3.449 0.000 9.330 3.449 0.000 -0.005 0.000 5.912" Properties=species:S:1:pos:R:3 pbc="T T T"
Tb 0.000 0.000 0.000
Tb 3.492 0.000 1.462
Tb 5.353 0.000 4.402
Tb 8.610 0.000 4.431
Tb 10.045 0.000 1.481
Tb 13.303 0.000 1.510
Tb 15.164 0.000 4.449
Ce -0.003 0.000 2.956
Tm 6.778 1.603 1.470
Tm 11.878 1.603 4.442
Tm 6.778 -1.603 1.470
Tm 11.878 -1.603 4.442
```

## Properties
**Density of states at the Fermi level**: 22.70 states/eV/cell
**Magnetization**: 0.122 μB per atom
**Total energy**: -4.5397 eV/atom

Below is crystalline Th3TlPt at its relaxed geometry, with properties calculated at the PBE-GGA level.

```
10
Lattice="6.085 0.000 0.000 0.000 7.103 0.000 -2.946 0.000 6.796" Properties=species:S:1:pos:R:3 pbc="T T T"
Th -0.854 1.776 2.263
Th 2.015 3.720 1.379
Th 2.015 6.935 1.379
Th 1.125 0.168 5.417
Th 1.125 3.384 5.417
Th 3.994 5.327 4.533
Tl -1.865 1.776 5.690
Tl 5.004 5.327 1.106
Pt 0.567 5.327 3.425
Pt 2.572 1.776 3.371
```

## Properties
**Density of states at the Fermi level**: 12.14 states/eV/cell
**Magnetization**: 0.000 μB per atom
**Total energy**: -6.4980 eV/atom

Below is crystalline OsPbAu2 at its relaxed geometry, with properties calculated at the PBE-GGA level.

```
4
Lattice="1.509 0.871 9.932 -1.509 0.871 9.932 0.000 -1.742 9.932" Properties=species:S:1:pos:R:3 pbc="T T T"
Os 0.000 0.000 0.000
Pb 0.000 0.000 14.898
Au 0.000 0.000 7.726
Au 0.000 0.000 22.069
```

## Properties
**Density of states at the Fermi level**: 2.73 states/eV/cell
**Magnetization**: 0.172 μB per atom
**Total energy**: -4.7465 eV/atom